PBE-GGA Yb2ZnGa, optimized geometry; spin magnetization = 0.415 μB/f.u.; space group = Fm-3m, No. 225; energy of formation = -476 meV/atom
1.0
5.087 0.000 0.000
2.544 4.406 0.000
2.544 1.469 4.154
Zn Yb Ga
1 2 1
direct
0.000 0.000 0.000
0.750 0.750 0.750
0.250 0.250 0.250
0.500 0.500 0.500